An optimized crystal structure of PmTmH2. Source: Alexandria via LeMat-Bulk, functional GGA-PBE.

**Total magnetic moment**: 0.000 μB per cell
**Energy above the lowest structure with this stoichiometry**: 0.00 eV per formula unit
**V**: 61 Å³/f.u.

abc: 3.5099 3.5099 17.1023
angles: 90.00 90.00 120.00
Last column: nearest neighbours and their distance in Å.
Space group R-3m (No. 166, hexagonal axes)
Asymmetric unit:
Pm (0.0000, 0.0000, 0.0000)  6 H 2.54
Tm (0.0000, 0.0000, 0.5000)  6 H 2.42
H (0.0000, 0.0000, 0.2436)  3 Tm 2.42, 3 Pm 2.54

An optimized crystal structure of Pm2TmH8. Source: Alexandria via LeMat-Bulk, functional GGA-PBE.

**E_tot**: -47.4 eV per formula unit
**Total magnetic moment**: 0.000 μB per cell
**V**: 109 Å³/f.u.

abc: 3.7430 5.1794 11.2040
angles: 90.00 90.00 90.00
Last column: nearest neighbours and their distance in Å.
Space group Immm (No. 71)
Asymmetric unit:
Pm (0.0000, 0.0000, 0.1679)  8 H 2.27-2.39
Tm (0.0000, 0.0000, 0.5000)  8 H 2.17-2.28
H (0.0000, 0.2502, 0.0000)  2 H 2.26, 2 Tm 2.28, 2 Pm 2.28
H (0.0000, 0.2531, 0.3459)  1 Tm 2.17, 3 Pm 2.27-2.39, 3 H 2.29-2.39
H (0.0000, 0.5000, 0.1658)  8 H 2.26-2.39

An optimized crystal structure of PmTmH2. Source: Alexandria via LeMat-Bulk, functional GGA-PBE.

**Total magnetic moment**: 0.000 μB per cell
**Energy above the lowest structure with this stoichiometry**: 0.34 eV per formula unit
**V**: 63 Å³/f.u.

abc: 3.5047 3.5047 17.8095
angles: 90.00 90.00 120.00
Last column: nearest neighbours and their distance in Å.
Space group R3m (No. 160, hexagonal axes)
Asymmetric unit:
Pm (0.0000, 0.0000, 0.0000)  3 H 2.54
Tm (0.0000, 0.0000, 0.1794)  6 H 2.35
H (0.0000, 0.0000, 0.5803)  3 Tm 2.35, 3 Pm 2.54
H (0.0000, 0.0000, 0.7794)  3 Tm 2.35

An optimized crystal structure of PmTm3H8. Source: Alexandria via LeMat-Bulk, functional GGA-PBE.

**E_tot**: -53.4 eV per formula unit
**Total magnetic moment**: 0.000 μB per cell
**V**: 137 Å³/f.u.

abc: 5.1509 5.1509 5.1509
angles: 90.00 90.00 90.00
Last column: nearest neighbours and their distance in Å.
Space group Pm-3m (No. 221)
Asymmetric unit:
Pm (0.0000, 0.0000, 0.0000)  8 H 2.31
Tm (0.0000, 0.5000, 0.5000)  8 H 2.21
H (0.2586, 0.2586, 0.2586)  3 Tm 2.21, 1 Pm 2.31

An optimized crystal structure of PmTmH. Source: Alexandria via LeMat-Bulk, functional GGA-PBE.

**Total magnetic moment**: 0.000 μB per cell
**Energy above the lowest structure with this stoichiometry**: 0.00 eV per formula unit
**V**: 65 Å³/f.u.

abc: 3.6315 3.6315 5.6707
angles: 90.00 90.00 120.00
Last column: nearest neighbours and their distance in Å.
Space group P3m1 (No. 156)
Asymmetric unit:
Pm (0.0000, 0.0000, 0.0000)  3 H 2.56
Tm (0.6667, 0.3333, 0.5127)  3 H 2.46
H (0.3333, 0.6667, 0.7402)  3 Tm 2.46, 3 Pm 2.56

An optimized crystal structure of PmTm2H8. Source: Alexandria via LeMat-Bulk, functional GGA-PBE.

**E_tot**: -47.2 eV per formula unit
**Total magnetic moment**: 0.000 μB per cell
**V**: 102 Å³/f.u.

abc: 3.6247 5.1766 10.8849
angles: 90.00 90.00 90.00
Last column: nearest neighbours and their distance in Å.
Space group Immm (No. 71)
Asymmetric unit:
Pm (0.0000, 0.0000, 0.0000)  12 H 2.28-2.49
Tm (0.0000, 0.0000, 0.3302)  8 H 2.15-2.25
H (0.0000, 0.2137, 0.5000)  2 Tm 2.15, 3 H 2.21-2.26, 2 Pm 2.34
H (0.0000, 0.2671, 0.1667)  3 Tm 2.18-2.25, 4 H 2.27-2.41, 1 Pm 2.28
H (0.0000, 0.5000, 0.3435)  8 H 2.26-2.28, 2 Pm 2.49

An optimized crystal structure of PmTmH4. Source: Alexandria via LeMat-Bulk, functional GGA-PBE.

**E_tot**: -26.7 eV per formula unit
**Total magnetic moment**: 0.000 μB per cell
**V**: 72 Å³/f.u.

abc: 5.2356 5.2356 10.5003
angles: 90.00 90.00 90.00
Last column: nearest neighbours and their distance in Å.
Space group I4_1/amd (No. 141, origin choice 2)
Asymmetric unit:
Pm (0.0000, 0.2500, 0.3750)  8 H 2.32
Tm (0.0000, 0.2500, 0.8750)  8 H 2.22
H (0.2340, 0.0000, 0.0000)  2 Tm 2.22, 2 Pm 2.32, 1 H 2.45

An optimized crystal structure of Pm5Tm3H12. Source: Alexandria via LeMat-Bulk, functional GGA-PBE.

**E_tot**: -86.0 eV per formula unit
**Total magnetic moment**: 0.003 μB per cell
**V**: 291 Å³/f.u.

abc: 13.2543 13.2543 13.2543
angles: 90.00 90.00 90.00
Last column: nearest neighbours and their distance in Å.
Space group Ia-3d (No. 230)
Asymmetric unit:
Pm (0.0000, 0.0000, 0.0000)  6 H 2.30
Pm (0.0000, 0.2500, 0.3750)  4 H 2.28
Tm (0.0000, 0.2500, 0.1250)  8 H 2.22-2.43
H (0.0027, 0.0697, 0.1586)  1 H 2.22, 2 Tm 2.22-2.43, 2 Pm 2.28-2.30